(w)
Compound: NiMoPt2
Source: Alexandria
Functional: PBEsol
Structure: optimized geometry

Lattice parameters (Å, degrees): 2.7067 2.7067 7.5475 90.00 90.00 90.00
Fractional positions:
Pt 0.5000 0.5000 0.2578
Pt 0.0000 0.0000 0.9807
Ni 0.5000 0.5000 0.7438
Mo 0.0000 0.0000 0.5177

Values from the calculation:
**Theoretical density**: 16.361 g cm⁻³
**Density of states at the Fermi level**: 4.3 states/eV per cell


(x)
Compound: NiMoPt2
Source: Alexandria
Functional: PBEsol
Structure: optimized geometry

Lattice parameters (Å, degrees): 3.7758 3.7758 4.7049 113.66 113.66 90.00
Fractional positions:
Mo 0.5000 0.5000 0.0000
Pt 0.2500 0.7500 0.5000
Ni 0.0000 0.0000 0.0000
Pt 0.7500 0.2500 0.5000

Values from the calculation:
**Theoretical density**: 16.380 g cm⁻³
**Density of states at the Fermi level**: 3.3 states/eV per cell


From most stable to least stable, the computed energies give (x), (w).